# 1
Below is an optimized crystal structure of Ac2PrSm, with properties calculated at the PBE level.

Cell and atoms, written as CIF:
```
data_Ac2PrSm
_chemical_formula_sum 'Ac2 Pr1 Sm1'
_symmetry_space_group_name_H-M 'P 1'
_symmetry_Int_Tables_number 1
_cell_length_a 3.880
_cell_length_b 6.548
_cell_length_c 6.548
_cell_angle_alpha 107.44
_cell_angle_beta 90.00
_cell_angle_gamma 90.00
loop_
_symmetry_equiv_pos_as_xyz
'x,y,z'
loop_
_atom_site_label
_atom_site_fract_x
_atom_site_fract_y
_atom_site_fract_z
Ac1 0.000 0.500 0.000
Ac2 0.000 0.000 0.500
Pr1 0.500 0.500 0.500
Sm1 0.500 0.000 0.000
```

Calculated values
energy relative to the elements	0.030	eV/atom
magnetic moment	0.0	μB/f.u.
N(E_F)	7.1	states/eV/f.u.
offset from the most stable computed form	0.0044	eV per atom
theoretical density	7.798	g/cm3
VASP energy	-4.399	eV/atom

---

# 2
Below is an optimized crystal structure of AcPr2Sm5, with properties calculated at the PBE level.

Cell and atoms, written as CIF:
```
data_AcPr2Sm5
_chemical_formula_sum 'Ac2 Pr4 Sm10'
_symmetry_space_group_name_H-M 'P 1'
_symmetry_Int_Tables_number 1
_cell_length_a 5.232
_cell_length_b 7.381
_cell_length_c 14.779
_cell_angle_alpha 90.00
_cell_angle_beta 90.00
_cell_angle_gamma 90.00
loop_
_symmetry_equiv_pos_as_xyz
'x,y,z'
loop_
_atom_site_label
_atom_site_fract_x
_atom_site_fract_y
_atom_site_fract_z
Ac1 0.000 0.000 0.500
Ac2 0.000 0.500 0.000
Pr1 0.500 0.253 0.628
Pr2 0.500 0.747 0.372
Pr3 0.500 0.247 0.128
Pr4 0.500 0.753 0.872
Sm1 0.000 0.000 0.000
Sm2 0.000 0.500 0.500
Sm3 0.000 0.501 0.747
Sm4 0.000 0.499 0.253
Sm5 0.000 0.999 0.247
Sm6 0.000 0.001 0.753
Sm7 0.500 0.249 0.873
Sm8 0.500 0.751 0.127
Sm9 0.500 0.251 0.373
Sm10 0.500 0.749 0.627
```

Calculated values
energy relative to the elements	0.026	eV/atom
magnetic moment	0.0	μB/f.u.
N(E_F)	12.9	states/eV/f.u.
theoretical density	7.336	g/cm3
VASP energy	-4.632	eV/atom

---

# 3
Below is an optimized crystal structure of Ac6PrSm12, with properties calculated at the PBE level.

Cell and atoms, written as CIF:
```
data_Ac6PrSm12
_chemical_formula_sum 'Ac6 Pr1 Sm12'
_symmetry_space_group_name_H-M 'P 1'
_symmetry_Int_Tables_number 1
_cell_length_a 9.174
_cell_length_b 9.174
_cell_length_c 9.174
_cell_angle_alpha 98.88
_cell_angle_beta 98.88
_cell_angle_gamma 98.88
loop_
_symmetry_equiv_pos_as_xyz
'x,y,z'
loop_
_atom_site_label
_atom_site_fract_x
_atom_site_fract_y
_atom_site_fract_z
Ac1 0.894 0.337 0.894
Ac2 0.894 0.894 0.337
Ac3 0.337 0.894 0.894
Ac4 0.106 0.106 0.663
Ac5 0.106 0.663 0.106
Ac6 0.663 0.106 0.106
Pr1 0.000 0.000 0.000
Sm1 0.752 0.248 0.500
Sm2 0.356 0.075 0.356
Sm3 0.356 0.356 0.075
Sm4 0.925 0.644 0.644
Sm5 0.644 0.644 0.925
Sm6 0.644 0.925 0.644
Sm7 0.500 0.752 0.248
Sm8 0.248 0.500 0.752
Sm9 0.248 0.752 0.500
Sm10 0.500 0.248 0.752
Sm11 0.752 0.500 0.248
Sm12 0.075 0.356 0.356
```

Calculated values
energy relative to the elements	0.249	eV/atom
magnetic moment	0.0	μB/f.u.
N(E_F)	36.0	states/eV/f.u.
theoretical density	7.410	g/cm3
VASP energy	-4.280	eV/atom

---

# 4
Below is an optimized crystal structure of Ac2Pr5Sm12, with properties calculated at the PBE level.

Cell and atoms, written as CIF:
```
data_Ac2Pr5Sm12
_chemical_formula_sum 'Ac2 Pr5 Sm12'
_symmetry_space_group_name_H-M 'P 1'
_symmetry_Int_Tables_number 1
_cell_length_a 11.936
_cell_length_b 10.999
_cell_length_c 6.345
_cell_angle_alpha 101.37
_cell_angle_beta 90.00
_cell_angle_gamma 122.86
loop_
_symmetry_equiv_pos_as_xyz
'x,y,z'
loop_
_atom_site_label
_atom_site_fract_x
_atom_site_fract_y
_atom_site_fract_z
Ac1 0.777 0.000 0.000
Ac2 0.223 0.000 0.000
Pr1 0.216 0.433 0.544
Pr2 0.329 0.659 0.141
Pr3 0.000 0.000 0.500
Pr4 0.671 0.341 0.859
Pr5 0.784 0.567 0.456
Sm1 0.129 0.258 0.986
Sm2 0.050 0.594 0.796
Sm3 0.544 0.594 0.796
Sm4 0.147 0.792 0.393
Sm5 0.645 0.792 0.393
Sm6 0.443 0.885 0.715
Sm7 0.557 0.115 0.285
Sm8 0.853 0.208 0.607
Sm9 0.355 0.208 0.607
Sm10 0.950 0.406 0.204
Sm11 0.456 0.406 0.204
Sm12 0.871 0.742 0.014
```

Calculated values
energy relative to the elements	0.105	eV/atom
magnetic moment	0.0	μB/f.u.
N(E_F)	29.7	states/eV/f.u.
offset from the most stable computed form	0.0000	eV per atom
theoretical density	7.233	g/cm3
VASP energy	-4.565	eV/atom

---

# 5
Below is an optimized crystal structure of Ac4Pr5Sm, with properties calculated at the PBE level.

Cell and atoms, written as CIF:
```
data_Ac4Pr5Sm
_chemical_formula_sum 'Ac4 Pr5 Sm1'
_symmetry_space_group_name_H-M 'P 1'
_symmetry_Int_Tables_number 1
_cell_length_a 3.862
_cell_length_b 3.862
_cell_length_c 26.414
_cell_angle_alpha 90.00
_cell_angle_beta 90.00
_cell_angle_gamma 90.00
loop_
_symmetry_equiv_pos_as_xyz
'x,y,z'
loop_
_atom_site_label
_atom_site_fract_x
_atom_site_fract_y
_atom_site_fract_z
Ac1 0.000 0.000 0.195
Ac2 0.000 0.000 0.398
Ac3 0.000 0.000 0.602
Ac4 0.000 0.000 0.805
Pr1 0.500 0.500 0.093
Pr2 0.500 0.500 0.297
Pr3 0.500 0.500 0.500
Pr4 0.500 0.500 0.703
Pr5 0.500 0.500 0.907
Sm1 0.000 0.000 0.000
```

Calculated values
energy relative to the elements	0.030	eV/atom
magnetic moment	0.0	μB/f.u.
N(E_F)	19.2	states/eV/f.u.
theoretical density	7.431	g/cm3
VASP energy	-4.475	eV/atom

---

# 6
Below is an optimized crystal structure of Ac3PrSm4, with properties calculated at the PBE level.

Cell and atoms, written as CIF:
```
data_Ac3PrSm4
_chemical_formula_sum 'Ac3 Pr1 Sm4'
_symmetry_space_group_name_H-M 'P 1'
_symmetry_Int_Tables_number 1
_cell_length_a 3.694
_cell_length_b 9.341
_cell_length_c 9.341
_cell_angle_alpha 82.08
_cell_angle_beta 78.60
_cell_angle_gamma 78.60
loop_
_symmetry_equiv_pos_as_xyz
'x,y,z'
loop_
_atom_site_label
_atom_site_fract_x
_atom_site_fract_y
_atom_site_fract_z
Pr1 0.500 0.000 0.000
Ac1 0.762 0.238 0.238
Ac2 0.238 0.762 0.762
Ac3 0.000 0.500 0.500
Sm1 0.634 0.112 0.619
Sm2 0.366 0.888 0.381
Sm3 0.366 0.381 0.888
Sm4 0.634 0.619 0.112
```

Calculated values
energy relative to the elements	0.136	eV/atom
magnetic moment	0.0	μB/f.u.
N(E_F)	13.0	states/eV/f.u.
theoretical density	7.671	g/cm3
VASP energy	-4.362	eV/atom

---

# 7
Below is an optimized crystal structure of Ac3Pr3Sm4, with properties calculated at the PBE level.

Cell and atoms, written as CIF:
```
data_Ac3Pr3Sm4
_chemical_formula_sum 'Ac3 Pr3 Sm4'
_symmetry_space_group_name_H-M 'P 1'
_symmetry_Int_Tables_number 1
_cell_length_a 3.853
_cell_length_b 10.007
_cell_length_c 10.007
_cell_angle_alpha 90.61
_cell_angle_beta 90.00
_cell_angle_gamma 90.00
loop_
_symmetry_equiv_pos_as_xyz
'x,y,z'
loop_
_atom_site_label
_atom_site_fract_x
_atom_site_fract_y
_atom_site_fract_z
Ac1 0.000 0.502 0.000
Ac2 0.000 0.000 0.498
Ac3 0.500 0.174 0.826
Pr1 0.500 0.825 0.175
Pr2 0.500 0.329 0.324
Pr3 0.500 0.676 0.671
Sm1 0.000 0.625 0.375
Sm2 0.000 0.383 0.617
Sm3 0.000 0.869 0.883
Sm4 0.000 0.117 0.131
```

Calculated values
energy relative to the elements	0.079	eV/atom
magnetic moment	0.0	μB/f.u.
N(E_F)	12.1	states/eV/f.u.
theoretical density	7.340	g/cm3
VASP energy	-4.475	eV/atom

---

# 8
Below is an optimized crystal structure of AcPr15Sm4, with properties calculated at the PBE level.

Cell and atoms, written as CIF:
```
data_AcPr15Sm4
_chemical_formula_sum 'Ac1 Pr15 Sm4'
_symmetry_space_group_name_H-M 'P 1'
_symmetry_Int_Tables_number 1
_cell_length_a 5.255
_cell_length_b 5.255
_cell_length_c 26.210
_cell_angle_alpha 90.00
_cell_angle_beta 90.00
_cell_angle_gamma 90.00
loop_
_symmetry_equiv_pos_as_xyz
'x,y,z'
loop_
_atom_site_label
_atom_site_fract_x
_atom_site_fract_y
_atom_site_fract_z
Ac1 0.000 0.000 0.000
Pr1 0.500 0.500 0.000
Pr2 0.500 0.500 0.204
Pr3 0.500 0.500 0.401
Pr4 0.500 0.500 0.599
Pr5 0.500 0.500 0.796
Pr6 0.500 0.000 0.104
Pr7 0.500 0.000 0.302
Pr8 0.500 0.000 0.500
Pr9 0.500 0.000 0.698
Pr10 0.500 0.000 0.896
Pr11 0.000 0.500 0.104
Pr12 0.000 0.500 0.302
Pr13 0.000 0.500 0.500
Pr14 0.000 0.500 0.698
Pr15 0.000 0.500 0.896
Sm1 0.000 0.000 0.203
Sm2 0.000 0.000 0.401
Sm3 0.000 0.000 0.599
Sm4 0.000 0.000 0.797
```

Calculated values
energy relative to the elements	0.016	eV/atom
magnetic moment	0.0	μB/f.u.
N(E_F)	30.8	states/eV/f.u.
theoretical density	6.750	g/cm3
VASP energy	-4.717	eV/atom

---

# 9
Below is an optimized crystal structure of AcPr2Sm, with properties calculated at the PBE level.

Cell and atoms, written as CIF:
```
data_AcPr2Sm
_chemical_formula_sum 'Ac1 Pr2 Sm1'
_symmetry_space_group_name_H-M 'P 1'
_symmetry_Int_Tables_number 1
_cell_length_a 3.778
_cell_length_b 6.537
_cell_length_c 6.472
_cell_angle_alpha 99.75
_cell_angle_beta 90.00
_cell_angle_gamma 106.80
loop_
_symmetry_equiv_pos_as_xyz
'x,y,z'
loop_
_atom_site_label
_atom_site_fract_x
_atom_site_fract_y
_atom_site_fract_z
Ac1 0.500 0.000 0.000
Pr1 0.252 0.505 0.254
Pr2 0.748 0.495 0.746
Sm1 0.000 0.000 0.500
```

Calculated values
energy relative to the elements	0.028	eV/atom
magnetic moment	0.0	μB/f.u.
N(E_F)	6.8	states/eV/f.u.
offset from the most stable computed form	0.0063	eV per atom
theoretical density	7.269	g/cm3
VASP energy	-4.568	eV/atom

---

# 10
Below is an optimized crystal structure of Ac8Pr6Sm, with properties calculated at the PBE level.

Cell and atoms, written as CIF:
```
data_Ac8Pr6Sm
_chemical_formula_sum 'Ac8 Pr6 Sm1'
_symmetry_space_group_name_H-M 'P 1'
_symmetry_Int_Tables_number 1
_cell_length_a 9.296
_cell_length_b 9.296
_cell_length_c 9.296
_cell_angle_alpha 66.60
_cell_angle_beta 66.60
_cell_angle_gamma 66.60
loop_
_symmetry_equiv_pos_as_xyz
'x,y,z'
loop_
_atom_site_label
_atom_site_fract_x
_atom_site_fract_y
_atom_site_fract_z
Ac1 0.176 0.589 0.864
Ac2 0.136 0.824 0.411
Ac3 0.411 0.136 0.824
Ac4 0.735 0.735 0.735
Ac5 0.265 0.265 0.265
Ac6 0.589 0.864 0.176
Ac7 0.864 0.176 0.589
Ac8 0.824 0.411 0.136
Pr1 0.065 0.372 0.677
Pr2 0.323 0.935 0.628
Pr3 0.628 0.323 0.935
Pr4 0.372 0.677 0.065
Pr5 0.677 0.065 0.372
Pr6 0.935 0.628 0.323
Sm1 0.000 0.000 0.000
```

Calculated values
energy relative to the elements	0.221	eV/atom
magnetic moment	0.0	μB/f.u.
N(E_F)	23.7	states/eV/f.u.
theoretical density	7.198	g/cm3
VASP energy	-4.196	eV/atom